DFT (PBE) results for crystalline Na3Sm3ScS8 at its relaxed geometry. Values from VASP.

Results
The space group is R-3m. The crystal system is trigonal. The calculation puts the calculated volume at 24.92 Å³/atom. Its total magnetization is 0.00 μB/atom. As for the uncorrected formation energy: -38.97 kcal/mol of atoms.

Geometry as Quantum ESPRESSO input:
```
&SYSTEM
  ibrav = 0, nat = 15, ntyp = 4
/
ATOMIC_SPECIES
Na 22.99 Na.upf
Sm 150.36 Sm.upf
Sc 44.96 Sc.upf
S 32.06 S.upf
ATOMIC_POSITIONS crystal
Na 0.000 0.500 0.500
Na 0.500 0.000 0.500
Na 0.500 0.500 0.000
Sm 0.000 0.000 0.500
Sm 0.000 0.500 0.000
Sm 0.500 0.000 0.000
Sc 0.500 0.500 0.500
S 0.245 0.245 0.245
S 0.259 0.730 0.730
S 0.270 0.270 0.741
S 0.270 0.741 0.270
S 0.730 0.259 0.730
S 0.730 0.730 0.259
S 0.741 0.270 0.270
S 0.755 0.755 0.755
CELL_PARAMETERS angstrom
4.017 2.319 6.685
-4.017 2.319 6.685
0.000 -4.639 6.685
```